No. 1
DFT (meta-GGA SCAN) results for a crystal of Y5Si10Ir4 relaxed with PBEsol.

```
Y5Si10Ir4
1.0
12.529 0.000 0.000
0.000 12.529 0.000
0.000 0.000 4.228
Y Si Ir
10 20 8
direct
0.000 0.000 0.000 Y
0.115 0.385 0.500 Y
0.175 0.675 0.500 Y
0.325 0.175 0.500 Y
0.385 0.885 0.500 Y
0.500 0.500 0.000 Y
0.615 0.115 0.500 Y
0.675 0.825 0.500 Y
0.825 0.325 0.500 Y
0.885 0.615 0.500 Y
0.000 0.158 0.500 Si
0.000 0.842 0.500 Si
0.067 0.567 0.000 Si
0.158 0.000 0.500 Si
0.164 0.200 0.000 Si
0.200 0.836 0.000 Si
0.300 0.336 0.000 Si
0.336 0.700 0.000 Si
0.342 0.500 0.500 Si
0.433 0.067 0.000 Si
0.500 0.342 0.500 Si
0.500 0.658 0.500 Si
0.567 0.933 0.000 Si
0.658 0.500 0.500 Si
0.664 0.300 0.000 Si
0.700 0.664 0.000 Si
0.800 0.164 0.000 Si
0.836 0.800 0.000 Si
0.842 0.000 0.500 Si
0.933 0.433 0.000 Si
0.020 0.755 0.000 Ir
0.245 0.020 0.000 Ir
0.255 0.520 0.000 Ir
0.480 0.255 0.000 Ir
0.520 0.745 0.000 Ir
0.745 0.480 0.000 Ir
0.755 0.980 0.000 Ir
0.980 0.245 0.000 Ir
```

Values from the calculation:
Uncorrected formation energy = -1.00 eV per atom
Total magnetic moment = 0.00 Bohr magnetons per cell
Total DFT energy (no corrections) = -28.57 eV/atom
Space group = P4/mbm


No. 2
DFT (meta-GGA SCAN) results for a crystal of NiMoW2 relaxed with PBEsol.

```
NiMoW2
1.0
-1.987 1.987 3.647
1.987 -1.987 3.647
1.987 1.987 -3.647
Ni Mo W
1 1 2
direct
0.000 0.000 0.000 Ni
0.250 0.750 0.500 Mo
0.500 0.500 0.000 W
0.750 0.250 0.500 W
```

Values from the calculation:
Total magnetic moment = 0.00 Bohr magnetons per cell
Total DFT energy (no corrections) = -47.35 eV/atom
Space group = I-4m2


No. 3
DFT (meta-GGA SCAN) results for a crystal of AlCuCl4 relaxed with PBEsol.

```
AlCuCl4
1.0
12.553 0.000 0.000
0.000 7.663 0.000
0.000 0.000 6.048
Al Cu Cl
4 4 16
direct
0.088 0.239 0.000 Al
0.412 0.739 0.500 Al
0.588 0.261 0.000 Al
0.912 0.761 0.500 Al
0.161 0.990 0.496 Cu
0.339 0.490 0.996 Cu
0.661 0.510 0.496 Cu
0.839 0.010 0.996 Cu
0.074 0.746 0.617 Cl
0.092 0.241 0.643 Cl
0.164 0.005 0.119 Cl
0.167 0.470 0.123 Cl
0.333 0.970 0.623 Cl
0.336 0.505 0.619 Cl
0.408 0.741 0.143 Cl
0.426 0.246 0.117 Cl
0.574 0.754 0.617 Cl
0.592 0.259 0.643 Cl
0.664 0.495 0.119 Cl
0.667 0.030 0.123 Cl
0.833 0.530 0.623 Cl
0.836 0.995 0.619 Cl
0.908 0.759 0.143 Cl
0.926 0.254 0.117 Cl
```

Values from the calculation:
Uncorrected formation energy = -1.32 eV per atom
Total magnetic moment = 0.39 Bohr magnetons per cell
Total DFT energy (no corrections) = -10.46 eV/atom
Space group = Pna2_1


No. 4
DFT (meta-GGA SCAN) results for a crystal of NaSr3H relaxed with PBEsol.

```
NaSr3H
1.0
5.612 0.000 0.000
0.000 5.612 0.000
0.000 0.000 5.612
Na Sr H
1 3 1
direct
0.000 0.000 0.000 Na
0.000 0.500 0.500 Sr
0.500 0.000 0.500 Sr
0.500 0.500 0.000 Sr
0.500 0.500 0.500 H
```

Values from the calculation:
Total magnetic moment = 0.00 Bohr magnetons per cell
Total DFT energy (no corrections) = -14.99 eV/atom
Space group = Pm-3m


No. 5
DFT (meta-GGA SCAN) results for a crystal of K9Fe2S7 relaxed with PBEsol.

```
K9Fe2S7
1.0
12.512 0.000 0.000
0.000 12.512 0.000
0.000 0.000 12.512
K Fe S
36 8 28
direct
0.001 0.301 0.833 K
0.043 0.793 0.178 K
0.058 0.058 0.058 K
0.086 0.586 0.914 K
0.167 0.501 0.199 K
0.178 0.043 0.793 K
0.199 0.167 0.501 K
0.207 0.678 0.457 K
0.239 0.239 0.239 K
0.261 0.761 0.739 K
0.293 0.322 0.957 K
0.301 0.833 0.001 K
0.322 0.957 0.293 K
0.333 0.499 0.699 K
0.414 0.414 0.414 K
0.442 0.942 0.558 K
0.457 0.207 0.678 K
0.499 0.699 0.333 K
0.501 0.199 0.167 K
0.543 0.707 0.822 K
0.558 0.442 0.942 K
0.586 0.914 0.086 K
0.667 0.999 0.801 K
0.678 0.457 0.207 K
0.699 0.333 0.499 K
0.707 0.822 0.543 K
0.739 0.261 0.761 K
0.761 0.739 0.261 K
0.793 0.178 0.043 K
0.801 0.667 0.999 K
0.822 0.543 0.707 K
0.833 0.001 0.301 K
0.914 0.086 0.586 K
0.942 0.558 0.442 K
0.957 0.293 0.322 K
0.999 0.801 0.667 K
0.071 0.929 0.429 Fe
0.099 0.401 0.599 Fe
0.401 0.599 0.099 Fe
0.429 0.071 0.929 Fe
0.571 0.571 0.571 Fe
0.599 0.099 0.401 Fe
0.901 0.901 0.901 Fe
0.929 0.429 0.071 Fe
0.059 0.311 0.076 S
0.069 0.835 0.912 S
0.076 0.059 0.311 S
0.088 0.569 0.665 S
0.165 0.412 0.431 S
0.189 0.924 0.559 S
0.206 0.294 0.706 S
0.294 0.706 0.206 S
0.311 0.076 0.059 S
0.335 0.588 0.931 S
0.412 0.431 0.165 S
0.424 0.941 0.811 S
0.431 0.165 0.412 S
0.441 0.689 0.576 S
0.559 0.189 0.924 S
0.569 0.665 0.088 S
0.576 0.441 0.689 S
0.588 0.931 0.335 S
0.665 0.088 0.569 S
0.689 0.576 0.441 S
0.706 0.206 0.294 S
0.794 0.794 0.794 S
0.811 0.424 0.941 S
0.835 0.912 0.069 S
0.912 0.069 0.835 S
0.924 0.559 0.189 S
0.931 0.335 0.588 S
0.941 0.811 0.424 S
```

Values from the calculation:
Uncorrected formation energy = -1.22 eV per atom
Total magnetic moment = 36.09 Bohr magnetons per cell
Total DFT energy (no corrections) = -11.15 eV/atom
Space group = P2_13


No. 6
DFT (meta-GGA SCAN) results for a crystal of Ca2InPt relaxed with PBEsol.

```
Ca2InPt
1.0
4.957 0.000 0.000
0.000 4.957 0.000
0.000 0.000 3.756
Ca In Pt
2 1 1
direct
0.000 0.500 0.000 Ca
0.500 0.000 0.000 Ca
0.000 0.000 0.500 In
0.500 0.500 0.500 Pt
```

Values from the calculation:
Total magnetic moment = 0.00 Bohr magnetons per cell
Total DFT energy (no corrections) = -31.43 eV/atom
Space group = P4/mmm


No. 7
DFT (meta-GGA SCAN) results for a crystal of BPOs2Pb relaxed with PBEsol.

```
BPOs2Pb
1.0
5.021 0.000 0.000
0.000 5.021 0.000
0.000 0.000 4.976
B P Os Pb
1 1 2 1
direct
0.000 0.000 0.000 B
0.500 0.500 0.000 P
0.000 0.500 0.500 Os
0.500 0.000 0.500 Os
0.500 0.500 0.500 Pb
```

Values from the calculation:
Total magnetic moment = 3.82 Bohr magnetons per cell
Total DFT energy (no corrections) = -43.80 eV/atom
Space group = P4/mmm


No. 8
DFT (meta-GGA SCAN) results for a crystal of Sc2PRuAu relaxed with PBEsol.

```
Sc2PRuAu
1.0
4.766 0.000 0.000
0.000 4.766 0.000
0.000 0.000 4.424
Sc P Ru Au
2 1 1 1
direct
0.000 0.500 0.000 Sc
0.500 0.000 0.000 Sc
0.000 0.000 0.000 P
0.500 0.500 0.500 Ru
0.000 0.000 0.500 Au
```

Values from the calculation:
Total magnetic moment = 1.02 Bohr magnetons per cell
Total DFT energy (no corrections) = -28.60 eV/atom
Space group = P4/mmm


No. 9
DFT (meta-GGA SCAN) results for a crystal of TiNb2CrFe relaxed with PBEsol.

```
TiNb2CrFe
1.0
4.607 0.000 0.000
0.000 4.607 0.000
0.000 0.000 4.046
Ti Nb Cr Fe
1 2 1 1
direct
0.000 0.000 0.000 Ti
0.000 0.500 0.500 Nb
0.500 0.000 0.500 Nb
0.500 0.500 0.000 Cr
0.500 0.500 0.500 Fe
```

Values from the calculation:
Total magnetic moment = 1.06 Bohr magnetons per cell
Total DFT energy (no corrections) = -23.02 eV/atom
Space group = P4/mmm


No. 10
DFT (meta-GGA SCAN) results for a crystal of CaFeNi2 relaxed with PBEsol.

```
CaFeNi2
1.0
3.031 0.000 0.000
0.000 3.031 0.000
0.000 0.000 6.442
Ca Fe Ni
1 1 2
direct
0.000 0.000 0.000 Ca
0.500 0.500 0.344 Fe
0.000 0.000 0.502 Ni
0.500 0.500 0.703 Ni
```

Values from the calculation:
Total magnetic moment = 3.77 Bohr magnetons per cell
Total DFT energy (no corrections) = -14.78 eV/atom
Space group = P4mm


No. 11
DFT (meta-GGA SCAN) results for a crystal of Te3C relaxed with PBEsol.

```
Te3C
1.0
4.768 0.000 0.000
0.000 4.768 0.000
0.000 0.000 4.768
Te C
3 1
direct
0.000 0.000 0.500 Te
0.000 0.500 0.000 Te
0.500 0.000 0.000 Te
0.000 0.000 0.000 C
```

Values from the calculation:
Uncorrected formation energy = 1.35 eV per atom
Total magnetic moment = 0.34 Bohr magnetons per cell
Total DFT energy (no corrections) = -29.11 eV/atom
Space group = Pm-3m


No. 12
DFT (meta-GGA SCAN) results for a crystal of KCr2Cd2 relaxed with PBEsol.

```
KCr2Cd2
1.0
-2.413 2.413 5.625
2.413 -2.413 5.625
2.413 2.413 -5.625
K Cr Cd
1 2 2
direct
0.000 0.000 0.000 K
0.374 0.374 0.000 Cr
0.626 0.626 0.000 Cr
0.250 0.750 0.500 Cd
0.750 0.250 0.500 Cd
```

Values from the calculation:
Total magnetic moment = 9.54 Bohr magnetons per cell
Total DFT energy (no corrections) = -20.72 eV/atom
Space group = I4/mmm